An optimized crystal structure of YTe3Pd, computed with GGA-PBE.

Cell: 5.285 5.285 5.285 Å, 90.00 90.00 90.00°
Fractional coordinates of all 5 atoms:
Y1 0.500 0.500 0.500
Te1 0.000 0.500 0.000
Te2 0.000 0.000 0.500
Te3 0.500 0.000 0.000
Pd1 0.000 0.000 0.000

---

An optimized crystal structure of YTe2Pd9, computed with GGA-PBE.

Cell: 4.122 4.122 12.201 Å, 90.00 90.00 90.00°
Fractional coordinates of all 12 atoms:
Y1 0.000 0.000 0.000
Te1 0.000 0.000 0.334
Te2 0.000 0.000 0.666
Pd1 0.500 0.500 0.000
Pd2 0.500 0.500 0.338
Pd3 0.500 0.500 0.662
Pd4 0.500 0.000 0.170
Pd5 0.500 0.000 0.500
Pd6 0.500 0.000 0.830
Pd7 0.000 0.500 0.170
Pd8 0.000 0.500 0.500
Pd9 0.000 0.500 0.830

---

An optimized crystal structure of Y2Te2Pd, computed with GGA-PBE.

Cell: 7.974 7.974 4.036 Å, 90.00 90.00 90.00°
Fractional coordinates of all 10 atoms:
Y1 0.157 0.657 0.500
Y2 0.657 0.843 0.500
Y3 0.843 0.343 0.500
Y4 0.343 0.157 0.500
Te1 0.348 0.848 0.000
Te2 0.848 0.652 0.000
Te3 0.652 0.152 0.000
Te4 0.152 0.348 0.000
Pd1 0.000 0.000 0.000
Pd2 0.500 0.500 0.000

---

An optimized crystal structure of YTePd4, computed with GGA-PBE.

Cell: 5.433 5.433 5.433 Å, 60.00 60.00 60.00°
Fractional coordinates of all 6 atoms:
Y1 0.000 0.000 0.000
Te1 0.250 0.250 0.250
Pd1 0.626 0.626 0.123
Pd2 0.626 0.123 0.626
Pd3 0.626 0.626 0.626
Pd4 0.123 0.626 0.626

---

An optimized crystal structure of Y4Te3Pd, computed with GGA-PBE.

Cell: 4.222 7.563 7.563 Å, 108.53 90.00 90.00°
Fractional coordinates of all 8 atoms:
Y1 0.000 0.219 0.219
Y2 0.500 0.761 0.239
Y3 0.000 0.781 0.781
Y4 0.500 0.239 0.761
Te1 0.000 0.000 0.500
Te2 0.500 0.500 0.500
Te3 0.000 0.500 0.000
Pd1 0.500 0.000 0.000

---

An optimized crystal structure of Y2TePd9, computed with GGA-PBE.

Cell: 4.117 4.117 12.352 Å, 90.00 90.00 90.00°
Fractional coordinates of all 12 atoms:
Y1 0.000 0.000 0.335
Y2 0.000 0.000 0.665
Te1 0.000 0.000 0.000
Pd1 0.500 0.500 0.000
Pd2 0.500 0.500 0.329
Pd3 0.500 0.500 0.671
Pd4 0.500 0.000 0.162
Pd5 0.500 0.000 0.500
Pd6 0.500 0.000 0.838
Pd7 0.000 0.500 0.162
Pd8 0.000 0.500 0.500
Pd9 0.000 0.500 0.838

---

An optimized crystal structure of YTe2Pd, computed with GGA-PBE.

Cell: 5.871 5.871 8.713 Å, 70.31 70.31 90.00°
Fractional coordinates of all 8 atoms:
Y1 0.500 0.500 0.000
Y2 0.250 0.750 0.500
Te1 0.670 0.125 0.250
Te2 0.080 0.625 0.250
Te3 0.375 0.330 0.750
Te4 0.875 0.920 0.750
Pd1 0.000 0.000 0.000
Pd2 0.750 0.250 0.500

---

An optimized crystal structure of YTePd3, computed with GGA-PBE.

Cell: 4.937 4.937 4.937 Å, 90.00 90.00 90.00°
Fractional coordinates of all 5 atoms:
Y1 0.500 0.500 0.500
Te1 0.000 0.000 0.000
Pd1 0.000 0.500 0.000
Pd2 0.000 0.000 0.500
Pd3 0.500 0.000 0.000

---

The calculation returns the following energy relative to the elements, uncorrected values, one per record and in order: -0.305; -0.396; -0.943; -0.525; -1.192; -0.626; -0.651; -0.207 eV per atom.
The calculation returns the following E_tot values, one per record and in order: -22.61; -64.24; -58.24; -33.53; -50.01; -70.32; -41.08; -26.22 eV for the cell shown.